DFT (PBE-GGA) results for a geometry-optimized Tb6ZnIr5 structure.

It has space group Cmmm (No. 65), with a = 4.830 Å, b = 14.530 Å, c = 7.107 Å, α = 90.00°, β = 90.00° and γ = 90.00°. Symmetry generates all atoms from Tb at (0.000, 0.000, 0.242), Tb at (0.000, 0.330, 0.248), Zn at (0.000, 0.500, 0.500), Ir at (0.000, 0.162, 0.500), Ir at (0.000, 0.169, 0.000) and Ir at (0.000, 0.500, 0.000).

The magnetization comes out at 0.00 μB per formula unit. The value obtained for the total DFT energy (no corrections) is -164.2 eV for the cell shown. The value obtained for the formation enthalpy at 0 K is -726 meV/atom.